No. 1
CaTaTc2: relaxed, PBE.

extended XYZ file:
```
4
Lattice="9.001 0.002 0.001 8.455 3.088 0.001 8.455 1.497 2.701" Properties=species:S:1:pos:R:3 pbc="T T T"
Ca 6.478 1.147 0.676
Tc 12.679 2.245 1.323
Tc 0.276 0.049 0.029
Ta 19.433 3.440 2.028
```

The formation energy comes out at 0.3553 eV per atom. Its energy above the most stable polymorph in this dataset is 174 meV/atom.

No. 2
LuAlZn2: relaxed, PBE.

extended XYZ file:
```
4
Lattice="3.297 0.000 0.000 0.000 3.297 0.000 0.000 0.000 6.765" Properties=species:S:1:pos:R:3 pbc="T T T"
Al 1.648 1.648 0.000
Zn 0.000 0.000 1.444
Zn 0.000 0.000 5.320
Lu 1.648 1.648 3.382
```

The formation energy comes out at -0.1804 eV per atom. Its energy above the most stable polymorph in this dataset is 103 meV/atom.

No. 3
LiHoBiIr: relaxed, PBE.

extended XYZ file:
```
4
Lattice="4.797 0.000 0.000 2.399 4.155 0.000 2.399 1.385 3.917" Properties=species:S:1:pos:R:3 pbc="T T T"
Bi 0.000 0.000 0.000
Li 2.399 1.385 0.979
Ir 7.196 4.155 2.938
Ho 4.797 2.770 1.959
```

The formation energy comes out at -0.5628 eV per atom.

No. 4
Nd12AlNi5: relaxed, PBE.

extended XYZ file:
```
18
Lattice="-3.942 1.272 7.529 -2.814 -7.312 -3.530 8.509 -0.807 0.889" Properties=species:S:1:pos:R:3 pbc="T T T"
Nd 3.243 -2.492 1.717
Nd -0.222 -6.077 -1.735
Nd -0.069 -2.841 0.195
Nd -1.491 -4.355 3.172
Nd -1.477 0.697 6.223
Nd 1.610 -5.891 1.643
Nd 1.974 -0.769 6.623
Nd 3.229 -7.544 -1.335
Nd 0.142 -0.956 3.246
Nd -3.491 -1.504 4.099
Nd 5.243 -5.343 0.789
Nd 1.822 -4.006 4.694
Al 2.847 -4.059 -1.320
Ni -2.477 -2.215 1.466
Ni -1.236 -6.074 1.006
Ni 2.988 -0.772 3.882
Ni -4.279 -3.825 2.533
Ni 0.000 0.000 0.000
```

The formation energy comes out at -0.2211 eV per atom.

No. 5
TlFe2SeBr: relaxed, PBE.

extended XYZ file:
```
5
Lattice="5.213 0.000 0.000 0.000 5.552 0.000 0.000 0.000 5.213" Properties=species:S:1:pos:R:3 pbc="T T T"
Se 2.607 2.776 2.607
Br 0.000 2.776 0.000
Tl 0.000 0.000 0.000
Fe 2.607 0.000 0.000
Fe 0.000 0.000 2.607
```

Its raw formation energy is 1.39 eV per atom.

No. 6
TaCdTe: relaxed, PBE.

extended XYZ file:
```
3
Lattice="-2.353 2.571 -3.200 -2.895 -2.128 -3.078 -4.683 0.551 0.388" Properties=species:S:1:pos:R:3 pbc="T T T"
Te -2.483 0.248 -1.473
Cd 0.000 0.000 0.000
Ta -4.965 0.497 -2.945
```

Its energy above the most stable polymorph in this dataset is 705 meV/atom. Its raw formation energy is 0.87 eV per atom.

No. 7
TlZnRh2: relaxed, PBE.

extended XYZ file:
```
4
Lattice="5.249 -0.072 0.078 -2.015 4.847 0.078 0.694 1.024 2.667" Properties=species:S:1:pos:R:3 pbc="T T T"
Zn -0.661 2.936 1.373
Rh 0.000 0.000 0.000
Rh 1.617 2.388 0.078
Tl 2.971 0.476 1.373
```

The formation energy comes out at 0.1211 eV per atom.

No. 8
LiSi2Ni: relaxed, PBE.

extended XYZ file:
```
4
Lattice="3.601 0.000 0.000 0.000 3.600 0.000 0.000 0.000 3.706" Properties=species:S:1:pos:R:3 pbc="T T T"
Si 1.801 1.800 0.000
Si 0.000 0.000 0.000
Li 1.801 0.000 1.853
Ni 0.000 1.800 1.853
```

Its energy above the most stable polymorph in this dataset is 174 meV/atom. Its raw formation energy is -0.18 eV per atom.

No. 9
CaReNiIr2: relaxed, PBE.

extended XYZ file:
```
5
Lattice="-0.332 -0.996 4.553 1.813 -4.155 -0.777 4.281 1.738 0.692" Properties=species:S:1:pos:R:3 pbc="T T T"
Re 0.906 -2.078 -0.388
Ir 2.140 0.869 0.346
Ir -0.166 -0.498 2.276
Ca 0.000 0.000 0.000
Ni 2.881 -1.706 2.234
```

The formation energy comes out at 2.9328 eV per atom.

No. 10
Tb2CoP4Ir3: relaxed, PBE.

extended XYZ file:
```
10
Lattice="-3.285 0.183 2.492 0.611 -3.932 1.095 5.520 2.827 7.070" Properties=species:S:1:pos:R:3 pbc="T T T"
Tb 4.466 0.165 5.877
Tb -0.284 0.787 2.986
Co 1.423 -0.461 5.328
Ir 3.230 2.587 7.487
Ir 0.952 -1.635 1.376
Ir 2.760 1.413 3.535
P 1.842 1.876 5.709
P 0.000 0.000 0.000
P 2.341 -0.924 3.154
P -1.337 -1.874 1.793
```

The formation energy comes out at -0.9627 eV per atom.

No. 11
Ce2GeRh6: relaxed, PBE.

extended XYZ file:
```
9
Lattice="-5.512 0.119 0.774 2.831 -4.676 0.859 0.855 0.110 6.077" Properties=species:S:1:pos:R:3 pbc="T T T"
Rh -0.815 -1.161 4.714
Rh -1.011 -3.286 2.995
Rh 0.288 -1.042 2.215
Rh -2.114 -3.405 5.494
Rh 1.656 -3.343 2.621
Rh -3.482 -1.103 5.088
Ge 0.000 0.000 0.000
Ce 0.756 -3.246 5.886
Ce -2.582 -1.200 1.824
```

The formation energy comes out at -0.6661 eV per atom. Its energy above the most stable polymorph in this dataset is 0 meV/atom.